# 1
Pr2TlCl7 | GGA-PBE | relaxed

```
Pr2TlCl7
1.0
-5.3553 -0.2546 -1.2525
1.3241 -7.0108 -4.2364
-1.8357 -0.9312 8.0383
Pr Tl Cl
2 1 7
direct
0.5000 0.6979 0.3021
0.5000 0.3021 0.6979
0.0000 0.0000 0.0000
0.0000 0.7177 0.2823
0.0000 0.2823 0.7177
0.5000 0.0512 0.3253
0.5000 0.9488 0.6747
0.5000 0.3253 0.0512
0.5000 0.6747 0.9488
0.5000 0.5000 0.5000
```

Values from the calculation:
- Spin magnetization: 0.000 μB per formula unit

---

# 2
Pr3TlCl | GGA-PBE | relaxed

```
Pr3TlCl
1.0
-0.2388 -2.0639 -3.6297
9.0629 2.1994 -1.8469
4.5375 -12.8247 6.9935
Pr Tl Cl
12 4 4
direct
0.2500 0.3453 0.5178
0.7500 0.8146 0.2169
0.7500 0.5212 0.8917
0.7500 0.0212 0.6083
0.7500 0.6547 0.4822
0.2500 0.9788 0.3917
0.2500 0.8453 0.9822
0.7500 0.3146 0.2831
0.2500 0.6854 0.7169
0.2500 0.1854 0.7831
0.7500 0.1547 0.0178
0.2500 0.4788 0.1083
0.7500 0.9159 0.8202
0.2500 0.0841 0.1798
0.7500 0.4159 0.6798
0.2500 0.5841 0.3202
0.2500 0.3276 0.9454
0.2500 0.8276 0.5546
0.7500 0.1724 0.4454
0.7500 0.6724 0.0546
```

Values from the calculation:
- Spin magnetization: 0.525 μB per formula unit

---

# 3
Pr3Tl5Cl12 | GGA-PBE | relaxed

```
Pr3Tl5Cl12
1.0
-7.7467 4.2946 -12.6400
-5.7280 -13.3308 5.2635
-1.4488 10.8684 10.8630
Pr Tl Cl
12 20 48
direct
0.7500 0.3750 0.1250
0.8750 0.7500 0.1250
0.3750 0.7500 0.6250
0.2500 0.1250 0.3750
0.8750 0.1250 0.2500
0.3750 0.6250 0.2500
0.6250 0.3750 0.7500
0.1250 0.8750 0.7500
0.7500 0.8750 0.6250
0.6250 0.2500 0.3750
0.1250 0.2500 0.8750
0.2500 0.6250 0.8750
0.1250 0.3750 0.2500
0.0000 0.5000 0.0000
0.0000 0.0000 0.0000
0.3750 0.2500 0.1250
0.5000 0.0000 0.5000
0.5000 0.5000 0.0000
0.1250 0.7500 0.3750
0.7500 0.1250 0.8750
0.7500 0.6250 0.3750
0.3750 0.1250 0.7500
0.6250 0.8750 0.2500
0.5000 0.5000 0.5000
0.5000 0.0000 0.0000
0.0000 0.0000 0.5000
0.2500 0.3750 0.6250
0.2500 0.8750 0.1250
0.0000 0.5000 0.5000
0.8750 0.2500 0.6250
0.6250 0.7500 0.8750
0.8750 0.6250 0.7500
0.7422 0.1264 0.0742
0.3319 0.5742 0.4478
0.9258 0.3736 0.2578
0.5742 0.2422 0.1264
0.6158 0.7422 0.6681
0.9258 0.5522 0.1681
0.3319 0.7578 0.3842
0.0522 0.8842 0.1264
0.5522 0.9258 0.6681
0.7422 0.6158 0.1681
0.7578 0.4258 0.3736
0.8319 0.9478 0.0742
0.1264 0.7422 0.5742
0.3736 0.4478 0.1158
0.1158 0.9478 0.3736
0.3842 0.1264 0.5522
0.1158 0.1681 0.2422
0.4258 0.6681 0.0522
0.8319 0.8842 0.2578
0.1264 0.3842 0.0522
0.3736 0.9258 0.7578
0.5522 0.6264 0.3842
0.9478 0.8319 0.5742
0.7578 0.3319 0.8842
0.4478 0.3736 0.6158
0.0522 0.1681 0.4258
0.2422 0.6681 0.1158
0.1681 0.1158 0.7422
0.6264 0.0742 0.2422
0.8736 0.6158 0.9478
0.5742 0.3319 0.9478
0.6158 0.8736 0.4478
0.8842 0.8319 0.7578
0.8842 0.0522 0.6264
0.8736 0.2578 0.4258
0.1681 0.0522 0.9258
0.6264 0.5522 0.8842
0.4478 0.0742 0.3319
0.2578 0.3842 0.8319
0.2422 0.5742 0.6264
0.9478 0.1158 0.8736
0.6681 0.2422 0.6158
0.4258 0.7578 0.8736
0.0742 0.4478 0.8319
0.3842 0.2578 0.3319
0.0742 0.6264 0.7422
0.6681 0.4258 0.5522
0.2578 0.8736 0.9258
```

Values from the calculation:
- Spin magnetization: 2.025 μB per formula unit

---

# 4
PrTl5Cl8 | GGA-PBE | relaxed

```
PrTl5Cl8
1.0
-2.6462 -7.5067 -2.0536
5.4966 2.3527 -5.6412
3.4433 -0.1282 7.4631
Pr Tl Cl
1 5 8
direct
0.2500 0.7500 0.5000
0.8742 0.2522 0.8612
0.7478 0.6091 0.6221
0.3909 0.0130 0.1387
0.5000 0.5000 0.0000
0.9870 0.1258 0.3779
0.0339 0.7483 0.1395
0.2516 0.3911 0.2856
0.5682 0.8372 0.3953
0.1628 0.5581 0.7310
0.8271 0.4318 0.2690
0.1055 0.9661 0.7144
0.6089 0.8945 0.8605
0.4419 0.1729 0.6047
```

Values from the calculation:
- Spin magnetization: 0.000 μB per formula unit

---

# 5
Pr3TlCl | GGA-PBE | relaxed

```
Pr3TlCl
1.0
5.4044 0.0000 0.0000
0.0000 5.4044 0.0000
0.0000 0.0000 5.4044
Pr Tl Cl
3 1 1
direct
0.0000 0.5000 0.0000
0.0000 0.0000 0.5000
0.5000 0.0000 0.0000
0.5000 0.5000 0.5000
0.0000 0.0000 0.0000
```

Values from the calculation:
- Spin magnetization: 0.000 μB per formula unit

---

# 6
PrTl2Cl6 | GGA-PBE | relaxed

```
PrTl2Cl6
1.0
4.3539 0.0000 0.0000
0.0000 7.9526 0.0000
0.0000 -3.9763 6.9101
Pr Tl Cl
1 2 6
direct
0.5000 0.9998 0.0000
0.0000 0.3326 0.6667
0.0000 0.6658 0.3333
0.5000 0.6198 0.0000
0.5000 0.3808 0.3797
0.5000 0.0011 0.6203
0.0000 0.2428 0.0000
0.0000 0.7573 0.7573
0.0000 0.0000 0.2427
```

Values from the calculation:
- Spin magnetization: 0.000 μB per formula unit

---

# 7
Pr2Tl5Cl12 | GGA-PBE | relaxed

```
Pr2Tl5Cl12
1.0
6.9803 -0.3444 2.8906
1.0143 8.5418 4.2766
-1.5389 0.4110 9.4733
Pr Tl Cl
2 5 12
direct
0.0000 0.7475 0.2525
0.0000 0.2525 0.7475
0.0055 0.2423 0.2423
0.5053 0.3516 0.3516
0.5000 0.0000 0.0000
0.4947 0.6484 0.6484
0.9945 0.7577 0.7577
0.1891 0.9220 0.9220
0.2120 0.1412 0.5280
0.2120 0.5280 0.1412
0.7434 0.0947 0.7111
0.7434 0.7111 0.0947
0.7998 0.4775 0.4775
0.2002 0.5225 0.5225
0.2566 0.9053 0.2889
0.2566 0.2889 0.9053
0.7880 0.8588 0.4720
0.7880 0.4720 0.8588
0.8109 0.0780 0.0780
```

Values from the calculation:
- Spin magnetization: 0.450 μB per formula unit

---

# 8
PrTmCl6 | GGA-PBE | relaxed

```
PrTmCl6
1.0
-2.7186 5.3436 -3.9009
-3.9124 -5.3630 2.6634
0.7672 3.4396 5.7497
Pr Tm Cl
1 1 6
direct
0.0000 0.0000 0.0000
0.5000 0.5000 0.5000
0.5940 0.8760 0.7378
0.8760 0.5940 0.7378
0.1240 0.4060 0.2622
0.4060 0.1240 0.2622
0.2550 0.2550 0.7409
0.7450 0.7450 0.2591
```

Values from the calculation:
- Spin magnetization: 0.000 μB per formula unit

---

# 9
PrTmCl | GGA-PBE | relaxed

```
PrTmCl
1.0
-0.0161 0.4086 7.2366
-0.5984 -3.6307 0.2037
3.4484 1.2984 -0.0656
Pr Tm Cl
1 1 1
direct
0.6803 0.6667 0.3333
0.3011 0.3333 0.6667
0.0186 0.0000 0.0000
```

Values from the calculation:
- Spin magnetization: 0.384 μB per formula unit

---

# 10
PrTmCl | GGA-PBE | relaxed

```
PrTmCl
1.0
-0.7876 -0.0841 -3.7993
4.2372 0.9051 -0.8985
-0.6455 -10.3549 8.2916
Tm Pr Cl
2 2 2
direct
0.1052 0.6777 0.4276
0.8948 0.3223 0.5724
0.1528 0.9517 0.2014
0.8472 0.0483 0.7986
0.5064 0.6279 0.8783
0.4936 0.3721 0.1217
```

Values from the calculation:
- Spin magnetization: 0.000 μB per formula unit

---

# 11
PrTm3Cl | GGA-PBE | relaxed

```
PrTm3Cl
1.0
5.2547 0.0000 0.0000
0.0000 5.2547 0.0000
0.0000 0.0000 5.2547
Pr Tm Cl
1 3 1
direct
0.5000 0.5000 0.5000
0.0000 0.5000 0.0000
0.0000 0.0000 0.5000
0.5000 0.0000 0.0000
0.0000 0.0000 0.0000
```

Values from the calculation:
- Spin magnetization: 0.000 μB per formula unit

---

# 12
PrTmCl6 | GGA-PBE | relaxed

```
PrTmCl6
1.0
6.8218 0.0092 0.0097
3.4035 5.9124 0.0143
3.4012 1.9659 6.2206
Pr Tm Cl
1 1 6
direct
0.0000 0.0000 0.0000
0.5000 0.5000 0.5000
0.1123 0.4056 0.7426
0.7394 0.1123 0.7427
0.5944 0.2605 0.2574
0.2606 0.8877 0.2573
0.8877 0.5944 0.2574
0.4056 0.7395 0.7426
```

Values from the calculation:
- Spin magnetization: 0.000 μB per formula unit

---

# 13
Pr2VCl | GGA-PBE | relaxed

```
Pr2VCl
1.0
-2.9451 1.7128 -0.1575
-2.9315 -1.5765 0.7440
-0.8939 2.7990 10.2259
Pr Cl V
2 1 1
direct
0.0915 0.0915 0.7255
0.9085 0.9085 0.2745
0.5000 0.5000 0.5000
0.0000 0.0000 0.0000
```

Values from the calculation:
- Spin magnetization: 2.844 μB per formula unit

---

# 14
PrVCl | GGA-PBE | relaxed

```
PrVCl
1.0
3.8156 -0.0146 -0.0230
0.0199 4.1796 0.5924
-1.8629 -1.6948 8.3685
V Pr Cl
2 2 2
direct
0.0259 0.2094 0.5520
0.9741 0.7906 0.4480
0.3804 0.2677 0.2607
0.6196 0.7323 0.7393
0.8159 0.7655 0.1317
0.1841 0.2345 0.8683
```

Values from the calculation:
- Spin magnetization: 0.000 μB per formula unit

---

# 15
PrYCl | GGA-PBE | relaxed

```
PrYCl
1.0
3.7363 0.0000 0.0000
-1.8681 3.2357 0.0000
0.0000 0.0000 7.2685
Pr Y Cl
1 1 1
direct
0.6667 0.3333 0.3507
0.0000 0.0000 0.9662
0.3333 0.6667 0.6831
```

Values from the calculation:
- Spin magnetization: 0.396 μB per formula unit

---

# 16
PrYCl6 | GGA-PBE | relaxed

```
PrYCl6
1.0
-1.2898 -5.7847 3.4350
5.1145 -4.3035 1.4995
2.2171 -0.3546 7.0642
Pr Y Cl
1 1 6
direct
0.0000 0.0000 0.0000
0.5000 0.5000 0.5000
0.1076 0.4054 0.7443
0.7423 0.1076 0.7445
0.5946 0.2573 0.2557
0.2577 0.8924 0.2555
0.8924 0.5946 0.2557
0.4054 0.7427 0.7443
```

Values from the calculation:
- Spin magnetization: 0.000 μB per formula unit

---

# 17
PrYCl | GGA-PBE | relaxed

```
PrYCl
1.0
3.5186 0.0012 -0.4028
0.1292 5.6784 1.1385
-2.5866 -0.6664 8.5741
Y Pr Cl
2 2 2
direct
0.8395 0.7324 0.5899
0.1605 0.2676 0.4101
0.4172 0.7934 0.1667
0.5828 0.2066 0.8333
0.6214 0.6997 0.8715
0.3786 0.3003 0.1285
```

Values from the calculation:
- Spin magnetization: 0.000 μB per formula unit

---

# 18
PrYCl6 | GGA-PBE | relaxed

```
PrYCl6
1.0
7.3391 0.0082 -0.0389
0.0586 6.1250 3.5235
-0.0093 0.0023 7.0664
Pr Y Cl
1 1 6
direct
0.5000 0.0206 0.0206
0.0000 0.0206 0.0206
0.7658 0.7340 0.3076
0.2342 0.3076 0.7340
0.2396 0.0215 0.3074
0.2397 0.7333 0.0210
0.7603 0.0210 0.7333
0.7604 0.3074 0.0215
```

Values from the calculation:
- Spin magnetization: 0.000 μB per formula unit

---

# 19
Pr2ZnCl | GGA-PBE | relaxed

```
Pr2ZnCl
1.0
3.7821 0.0000 0.0000
1.8911 3.2754 0.0000
1.8911 1.0918 8.7151
Pr Zn Cl
2 1 1
direct
0.0821 0.0821 0.7536
0.2513 0.2513 0.2460
0.6669 0.6669 0.9992
0.4996 0.4996 0.5013
```

Values from the calculation:
- Spin magnetization: 0.000 μB per formula unit

---

# 20
Pr2ZnCl | GGA-PBE | relaxed

```
Pr2ZnCl
1.0
-2.5218 -2.3923 -2.3430
1.6287 -2.5363 -2.9133
0.1838 -6.8763 3.0732
Pr Zn Cl
2 1 1
direct
0.2487 0.2487 0.2539
0.7513 0.7513 0.7461
0.0000 0.0000 0.0000
0.5000 0.5000 0.5000
```

Values from the calculation:
- Spin magnetization: 0.000 μB per formula unit

---

# 21
PrZnCl6 | GGA-PBE | relaxed

```
PrZnCl6
1.0
6.4353 0.0083 0.0138
3.2111 5.5691 0.0214
3.2126 1.8555 6.1509
Pr Zn Cl
1 1 6
direct
0.5000 0.5000 0.5000
0.0000 0.0000 0.0000
0.0671 0.3963 0.7644
0.7706 0.0674 0.7661
0.6047 0.2285 0.2352
0.2294 0.9326 0.2339
0.9329 0.6037 0.2356
0.3953 0.7715 0.7648
```

Values from the calculation:
- Spin magnetization: 1.126 μB per formula unit

---

| no. | uncorrected energy (eV per atom) |
| --- | --- |
| 1 | -4.498 |
| 2 | -4.456 |
| 3 | -3.796 |
| 4 | -3.620 |
| 5 | -4.281 |
| 6 | -3.709 |
| 7 | -3.781 |
| 8 | -4.785 |
| 9 | -4.598 |
| 10 | -4.588 |
| 11 | -4.421 |
| 12 | -4.784 |
| 13 | -5.172 |
| 14 | -5.919 |
| 15 | -5.280 |
| 16 | -5.033 |
| 17 | -5.246 |
| 18 | -4.989 |
| 19 | -3.988 |
| 20 | -4.007 |
| 21 | -3.484 |